Record 1
# Sm7Dy2Ho2

A relaxed structure of Sm7Dy2Ho2 (GGA-PBE, the Alexandria database).

Unit cell a=8.5425 b=10.8885 c=8.1724 alpha=90.00 beta=103.49 gamma=90.00
With the nearest neighbours (Å) after each atom.
Space group C2/m (No. 12)
Symmetry-distinct sites (fractional):
1 Sm 0.0000 0.0000 0.0000 x2  2 Dy 3.49, 4 Sm 3.66
2 Sm 0.1966 0.2863 0.1717 x8  2 Sm 3.25-3.59, 3 Dy 3.36-3.63, 2 Ho 3.37-3.48
3 Sm 0.1977 0.0000 0.4849 x4  4 Ho 3.44-3.59, 3 Sm 3.44-3.59, 2 Dy 3.45-3.79
4 Dy 0.0867 0.5000 0.8229 x4  8 Sm 3.36-3.63, 2 Ho 3.45, 1 Dy 3.55
5 Ho 0.0000 0.2891 0.5000 x4  8 Sm 3.37-3.59, 2 Dy 3.45

Properties
Calculated formation energy = 140.5 meV/atom
Distance to the lowest polymorph of the same formula = 0 kJ/mol of formula units

---

Record 2
# Sm8Dy2Ho

A relaxed structure of Sm8Dy2Ho (GGA-PBE, the Alexandria database).

Unit cell a=11.1496 b=7.4223 c=9.2777 alpha=90.00 beta=106.34 gamma=90.00
With the nearest neighbours (Å) after each atom.
Space group C2/m (No. 12)
Symmetry-distinct sites (fractional):
1 Sm 0.0688 0.2189 0.2738 x8  1 Ho 3.21, 4 Sm 3.25-3.52, 2 Dy 3.46-3.49
2 Sm 0.1739 0.0000 0.6231 x4  7 Sm 3.43-3.52, 3 Dy 3.49-3.73
3 Sm 0.1906 0.0000 0.9982 x4  5 Sm 3.43-3.64, 1 Ho 3.44, 1 Dy 3.46
4 Dy 0.1421 0.5000 0.6256 x4  1 Dy 3.36, 10 Sm 3.46-3.76
5 Ho 0.0000 0.5000 0.0000 x2  6 Sm 3.21-3.44

Properties
Calculated formation energy = 124.0 meV/atom
Distance to the lowest polymorph of the same formula = 0 kJ/mol of formula units